Record 1
# NaAl6Ga12

A relaxed NaAl6Ga12 crystal (GGA-PBE, the Alexandria database).

Calculated values
Formation energy ... 25 meV per atom

Geometry as extended XYZ:
```
19
Lattice="7.514 -0.051 -0.071 -1.912 7.267 -0.071 -1.912 -2.462 6.837" Properties=species:S:1:pos:R:3 pbc="T T T"
Na 0.000 0.000 0.000
Al 4.178 1.402 1.974
Al 0.322 0.415 4.800
Al 0.322 4.395 1.974
Al 3.368 4.338 1.895
Al -0.487 3.352 4.721
Al 3.368 0.359 4.721
Ga 5.529 -0.483 3.347
Ga 4.173 2.975 4.190
Ga 1.848 2.380 5.894
Ga 1.843 -0.026 2.505
Ga 1.843 2.373 0.801
Ga -0.482 1.779 2.505
Ga -1.839 1.434 6.047
Ga 1.845 6.179 0.647
Ga -1.839 5.237 3.347
Ga 5.529 3.319 0.647
Ga 1.845 -1.426 6.047
Ga 1.848 4.780 4.190
```

=====

Record 2
# RbNaAg2F5

A relaxed RbNaAg2F5 crystal (GGA-PBE, the Alexandria database).

Calculated values
Formation energy without anion corrections ... -1.828 eV per atom

Geometry as extended XYZ:
```
9
Lattice="4.390 0.000 0.000 0.000 4.390 0.000 0.000 0.000 7.915" Properties=species:S:1:pos:R:3 pbc="T T T"
Rb 0.000 0.000 3.957
Na 0.000 0.000 0.000
Ag 2.195 2.195 1.561
Ag 2.195 2.195 6.353
F 0.000 2.195 1.435
F 2.195 0.000 1.435
F 0.000 2.195 6.480
F 2.195 0.000 6.480
F 2.195 2.195 3.957
```

=====

Record 3
# Nd6TlTe3

A relaxed Nd6TlTe3 crystal (GGA-PBE, the Alexandria database).

Calculated values
Formation energy without anion corrections ... -0.856 eV per atom

Geometry as extended XYZ:
```
20
Lattice="4.219 0.000 0.000 0.000 12.654 0.343 0.000 -3.906 12.568" Properties=species:S:1:pos:R:3 pbc="T T T"
Nd 3.164 3.746 8.305
Nd 1.055 5.003 4.606
Nd 3.164 11.268 1.706
Nd 1.055 -2.520 11.205
Nd 3.164 4.675 1.313
Nd 1.055 4.074 11.598
Nd 3.164 8.279 3.862
Nd 1.055 0.470 9.049
Nd 3.164 -0.294 5.904
Nd 1.055 9.042 7.007
Nd 3.164 7.164 9.680
Nd 1.055 1.585 3.230
Tl 3.164 -2.139 8.703
Tl 1.055 10.888 4.208
Te 3.164 1.860 10.900
Te 1.055 6.889 2.010
Te 3.164 6.524 6.543
Te 1.055 2.225 6.368
Te 3.164 1.632 0.917
Te 1.055 7.117 11.994
```

=====

| no. | calculated volume (Å³/atom) | total moment (μB/f.u.) | total energy (eV per atom) |
| --- | --- | --- | --- |
| 1 | 19.5 | 0.00 | -3.138 |
| 2 | 17.0 | 0.00 | -3.756 |
| 3 | 33.8 | 0.34 | -4.896 |